Entry 1:
The following is a PBE calculation of crystalline La3YTm2 at its relaxed geometry, from Alexandria.

```
6
Lattice="3.4792 0.0000 0.0000 0.0000 6.0006 0.0000 -1.7396 -3.0003 9.8657" Properties=species:S:1:pos:R:3 pbc="T T T"
La 0.0000 3.0003 0.0000
Tm 1.7396 3.0003 2.7098
La 1.7396 3.0003 6.1606
La 0.0000 0.0000 3.7051
Tm 0.0000 0.0000 7.1558
Y 0.0000 0.0000 0.0000
```

Results
crystal system	orthorhombic
raw total energy	-0.1729	Ha/atom

=====

Entry 2:
The following is a PBE calculation of crystalline La8Y2Tm at its relaxed geometry, from Alexandria.

```
11
Lattice="-4.4705 2.1639 -3.0137 1.0803 -5.7606 -5.7387 -3.4932 -3.2396 8.4552" Properties=species:S:1:pos:R:3 pbc="T T T"
La -1.7010 -1.6519 1.3371
La -7.6516 -2.7388 3.7844
La -4.0292 -2.5552 4.1423
La -2.8542 -4.2811 -4.4395
La -5.1824 -5.1844 -1.6344
La -3.5994 -4.8515 1.8559
La -3.2840 -1.9848 -2.1532
Y -1.5605 -4.9189 -1.2171
Tm -2.2353 1.0819 -1.5069
La 0.7682 -4.0974 -4.0816
Y -5.3229 -1.9173 0.9199
```

Results
crystal system	orthorhombic
raw total energy	-0.1860	Ha/atom

=====

Entry 3:
The following is a PBE calculation of crystalline LaY2Tm2 at its relaxed geometry, from Alexandria.

```
5
Lattice="3.5447 -0.2478 0.9824 -0.1706 5.1388 1.9124 1.0434 1.9658 10.5672" Properties=species:S:1:pos:R:3 pbc="T T T"
Tm 0.4364 3.5523 6.2398
Tm 2.2940 0.8590 5.7748
La 0.0000 0.0000 0.0000
Y 3.1652 4.9596 10.5799
Y 1.2521 1.8972 2.8821
```

Results
crystal system	monoclinic
raw total energy	-0.1871	Ha/atom

=====

Number 1: spin magnetization 0.001 μB per atom, distance to the lowest polymorph of the same formula 209.3 meV/atom, E_form 2.0 eV/f.u.. Number 2: spin magnetization 0.000 μB per atom, distance to the lowest polymorph of the same formula 0.0 meV/atom, E_form 1.2 eV/f.u.. Number 3: spin magnetization 0.000 μB per atom, distance to the lowest polymorph of the same formula 10.6 meV/atom, E_form 1.3 eV/f.u..